[1]
A plane-wave DFT calculation with PBE was carried out for an optimized crystal structure of CePm2ThBi4.

The structure in POSCAR format:
```
CePm2ThBi4
1.0
-4.2548 -0.2932 -1.7000
-1.2142 -6.6487 4.1855
-2.9762 1.8700 7.1263
Bi Pm Ce Th
4 2 1 1
Direct
0.5000 0.2490 0.7506 Bi
0.5000 0.7510 0.2494 Bi
0.0000 0.2494 0.2502 Bi
0.0000 0.7506 0.7498 Bi
0.0000 0.0000 0.0000 Pm
0.5000 0.0000 0.5000 Pm
0.5000 0.5000 0.0000 Ce
0.0000 0.5000 0.5000 Th
```

Calculated values
Formation energy from the elements in meV per atom: -826
D(E_F) in states/eV per cell: 9.232
SG: No. 10
Calculated density in g cm⁻³: 9.09

***

[2]
A plane-wave DFT calculation with PBE was carried out for an optimized crystal structure of CuNiBi.

The structure in POSCAR format:
```
CuNiBi
1.0
-1.2915 3.1997 -2.1386
-3.8054 -0.7246 1.2140
0.8885 3.6935 4.9895
Cu Bi Ni
2 2 2
Direct
0.5000 0.0000 0.2610 Cu
0.0000 0.5000 0.7390 Cu
0.0000 0.5000 0.1992 Bi
0.5000 0.0000 0.8008 Bi
0.5000 0.5000 0.5000 Ni
0.0000 0.0000 0.5000 Ni
```

Calculated values
Formation energy from the elements in meV per atom: 58
D(E_F) in states/eV per cell: 4.108
SG: No. 129
Calculated density in g cm⁻³: 10.64

***

[3]
A plane-wave DFT calculation with PBE was carried out for an optimized crystal structure of EuLu3.

The structure in POSCAR format:
```
EuLu3
1.0
-2.0330 3.6359 3.7812
0.4541 -1.1098 5.4966
3.5262 3.0024 3.1940
Lu Eu
3 1
Direct
0.0000 0.0000 0.0000 Lu
0.7500 0.7500 0.7500 Lu
0.2500 0.2500 0.2500 Lu
0.5000 0.5000 0.5000 Eu
```

Calculated values
Formation energy from the elements in meV per atom: 172
D(E_F) in states/eV per cell: 7.948
Distance to the lowest polymorph of the same formula in meV per atom: 92
SG: No. 225
Calculated density in g cm⁻³: 8.93